! PBE-GGA Li2CaTeO4, relaxed; values from VASP
&SYSTEM
  ibrav = 0, nat = 16, ntyp = 4
/
ATOMIC_SPECIES
Li 6.94 Li.upf
Ca 40.08 Ca.upf
Te 127.60 Te.upf
O 16.00 O.upf
ATOMIC_POSITIONS angstrom
Li 3.2902 -0.0369 -0.0109
Li 1.6710 -1.6572 2.3045
Li -1.6192 -1.6203 2.3154
Li 3.2510 3.2533 -0.0219
Ca -0.0392 3.2902 -0.0109
Ca 4.9220 1.5961 2.2825
Te 1.6318 1.6330 2.2935
Te 3.3421 -3.3144 4.6090
O 1.4599 5.0679 -0.0079
O 3.1453 0.0957 2.2795
O 0.1183 3.1702 2.3076
O 1.8038 -1.8020 4.5949
O 1.6438 1.6525 4.5813
O 3.2442 3.2540 2.2993
O 0.0195 0.0120 2.2878
O 1.6198 1.6135 0.0057
CELL_PARAMETERS angstrom
6.5804 -0.0738 -0.0219
-0.0784 6.5804 -0.0219
-3.2384 -3.2406 4.6309
! ΔE_f (raw)	-1746	meV per atom
! space group	C2/c (15)
! crystal system	monoclinic
! magnetic moment	0.00	μB per atom



! PBE-GGA ZrCdRe, relaxed; values from VASP
&SYSTEM
  ibrav = 0, nat = 3, ntyp = 3
/
ATOMIC_SPECIES
Cd 112.41 Cd.upf
Re 186.21 Re.upf
Zr 91.22 Zr.upf
ATOMIC_POSITIONS angstrom
Cd -1.8779 -0.4021 5.2756
Re -2.8169 -0.6031 7.9134
Zr 0.0000 0.0000 0.0000
CELL_PARAMETERS angstrom
-3.2324 -1.8187 2.6939
1.0512 -1.3428 4.2550
-1.5747 2.3574 3.6023
! space group	F-43m (216)
! crystal system	cubic
! energy above the lowest structure with this stoichiometry	552	meV/atom
! magnetic moment	0.27	μB per atom



! PBE-GGA CuGeBAs2, relaxed; values from VASP
&SYSTEM
  ibrav = 0, nat = 5, ntyp = 4
/
ATOMIC_SPECIES
As 74.92 As.upf
B 10.81 B.upf
Ge 72.64 Ge.upf
Cu 63.55 Cu.upf
ATOMIC_POSITIONS angstrom
As -1.7855 -1.5013 -0.7431
As -0.7882 1.7113 -1.5634
B 1.1290 -0.6882 -1.3224
Ge -1.4447 -0.4782 -3.6290
Cu 0.0000 0.0000 0.0000
CELL_PARAMETERS angstrom
-1.5764 3.4225 -3.1269
2.2580 -1.3764 -2.6449
-3.5710 -3.0025 -1.4862
! space group	P4/mmm (123)
! crystal system	tetragonal
! electronic total energy	-20.49	eV/cell
! magnetic moment	0.00	μB per atom



! PBE-GGA Ta2TlPt, relaxed; values from VASP
&SYSTEM
  ibrav = 0, nat = 4, ntyp = 3
/
ATOMIC_SPECIES
Pt 195.08 Pt.upf
Ta 180.95 Ta.upf
Tl 204.38 Tl.upf
ATOMIC_POSITIONS angstrom
Pt 4.7275 2.7294 1.9300
Ta 0.0000 0.0000 0.0000
Ta 7.0912 4.0941 2.8950
Tl 2.3637 1.3647 0.9650
CELL_PARAMETERS angstrom
4.7275 0.0000 0.0000
2.3637 4.0941 0.0000
2.3637 1.3647 3.8600
! space group	F-43m (216)
! crystal system	cubic
! energy above the lowest structure with this stoichiometry	337	meV/atom
! magnetic moment	0.00	μB per atom



! PBE-GGA CeInCoAg, relaxed; values from VASP
&SYSTEM
  ibrav = 0, nat = 4, ntyp = 4
/
ATOMIC_SPECIES
Co 58.93 Co.upf
Ag 107.87 Ag.upf
Ce 140.12 Ce.upf
In 114.82 In.upf
ATOMIC_POSITIONS angstrom
Co -1.3642 -2.4908 0.8771
Ag -4.0927 -7.4724 2.6312
Ce 0.0000 0.0000 0.0000
In -2.7285 -4.9816 1.7542
CELL_PARAMETERS angstrom
-4.3027 -2.1756 0.5594
-0.4272 -4.7710 -0.7834
-0.7271 -3.0167 3.7323
! space group	F-43m (216)
! crystal system	cubic
! electronic total energy	-18.88	eV/cell
! magnetic moment	0.16	μB per atom



! PBE-GGA NpMo2N, relaxed; values from VASP
&SYSTEM
  ibrav = 0, nat = 4, ntyp = 3
/
ATOMIC_SPECIES
Np 237.00 Np.upf
Mo 95.94 Mo.upf
N 14.01 N.upf
ATOMIC_POSITIONS angstrom
Np 0.0000 0.0000 0.0000
Mo 1.4607 0.8433 5.4355
Mo 4.3820 2.5300 2.7410
N 2.9214 1.6866 4.0882
CELL_PARAMETERS angstrom
2.9214 0.0000 0.0000
1.4607 2.5300 0.0000
1.4607 0.8433 8.1765
! ΔE_f (raw)	379	meV per atom
! space group	R-3m (166)
! crystal system	trigonal
! magnetic moment	0.91	μB per atom



! PBE-GGA LaThC4, relaxed; values from VASP
&SYSTEM
  ibrav = 0, nat = 6, ntyp = 3
/
ATOMIC_SPECIES
La 138.91 La.upf
Th 232.04 Th.upf
C 12.01 C.upf
ATOMIC_POSITIONS angstrom
La 0.0000 0.0000 0.0000
Th -5.1910 1.7269 -0.2138
C -7.5837 3.0185 0.0881
C -2.4859 1.3084 0.4165
C -2.7983 0.4354 -0.5158
C -7.8961 2.1455 -0.8442
CELL_PARAMETERS angstrom
-1.8998 2.7633 -1.9509
-3.2874 -1.2647 -2.4475
-5.1947 1.9554 3.9708
! space group	C2/m (12)
! crystal system	monoclinic
! electronic total energy	-50.30	eV/cell
! magnetic moment	0.00	μB per atom



! PBE-GGA Er8Sn5Bi, relaxed; values from VASP
&SYSTEM
  ibrav = 0, nat = 14, ntyp = 3
/
ATOMIC_SPECIES
Er 167.26 Er.upf
Sn 118.71 Sn.upf
Bi 208.98 Bi.upf
ATOMIC_POSITIONS angstrom
Er 5.5046 0.0140 -1.4494
Er -4.5504 -0.9310 -6.0164
Er -1.5759 0.6548 -4.7754
Er -1.6518 -3.7379 -4.3571
Er 2.5447 0.1630 -3.4789
Er 2.3769 -3.9838 -4.8240
Er -0.0711 -1.6048 -1.9377
Er 3.9430 -3.5854 -1.6161
Sn 2.5571 -1.1041 -0.4342
Sn 3.4521 1.7208 -5.9738
Sn 0.6063 -1.4786 -5.1771
Sn -3.1435 -1.3736 -3.0800
Sn -3.3555 -5.6436 -2.6424
Bi 0.7882 -4.5961 -2.2051
CELL_PARAMETERS angstrom
-3.0899 4.5658 -5.7835
7.9169 -0.5055 -0.9537
-3.1970 -7.3130 -0.3765
! space group	I-4 (82)
! crystal system	tetragonal
! electronic total energy	-70.26	eV/cell
! magnetic moment	0.00	μB per atom



! PBE-GGA NdYTm2, relaxed; values from VASP
&SYSTEM
  ibrav = 0, nat = 4, ntyp = 3
/
ATOMIC_SPECIES
Y 88.91 Y.upf
Tm 168.93 Tm.upf
Nd 144.24 Nd.upf
ATOMIC_POSITIONS angstrom
Y -1.2669 0.8516 5.4071
Tm 1.7128 1.7438 7.0990
Tm 0.5782 0.5887 2.3966
Nd -2.4125 -0.3146 0.6593
CELL_PARAMETERS angstrom
-2.8631 2.1168 0.1708
-1.9618 -2.7461 1.1479
2.2910 2.3325 9.4956
! space group	P4/mmm (123)
! crystal system	tetragonal
! energy above the lowest structure with this stoichiometry	21	meV/atom
! magnetic moment	0.00	μB per atom



! PBE-GGA KNa2GaRh, relaxed; values from VASP
&SYSTEM
  ibrav = 0, nat = 5, ntyp = 4
/
ATOMIC_SPECIES
Na 22.99 Na.upf
K 39.10 K.upf
Rh 102.91 Rh.upf
Ga 69.72 Ga.upf
ATOMIC_POSITIONS angstrom
Na 1.4372 -0.1138 2.3064
Na -2.1118 -1.1639 1.2585
K 0.9677 -2.5435 -0.7285
Rh 0.0000 0.0000 0.0000
Ga 0.2931 -3.8212 2.8364
CELL_PARAMETERS angstrom
-4.2236 -2.3278 2.5171
1.9354 -5.0870 -1.4570
2.8745 -0.2276 4.6128
! space group	P4/mmm (123)
! crystal system	tetragonal
! electronic total energy	-10.96	eV/cell
! magnetic moment	0.00	μB per atom



! PBE-GGA TlInN2, relaxed; values from VASP
&SYSTEM
  ibrav = 0, nat = 4, ntyp = 3
/
ATOMIC_SPECIES
Tl 204.38 Tl.upf
N 14.01 N.upf
In 114.82 In.upf
ATOMIC_POSITIONS angstrom
Tl 0.0000 0.0000 0.0000
N 0.0000 0.0000 16.6579
N 0.0000 0.0000 2.0425
In 0.0000 0.0000 9.3502
CELL_PARAMETERS angstrom
2.0619 0.0000 6.2335
-1.0309 1.7857 6.2335
-1.0309 -1.7857 6.2335
! ΔE_f (raw)	783	meV per atom
! space group	R-3m (166)
! crystal system	trigonal
! energy above the lowest structure with this stoichiometry	601	meV/atom
! magnetic moment	0.00	μB per atom



! PBE-GGA Nd2Pa2Se2S5, relaxed; values from VASP
&SYSTEM
  ibrav = 0, nat = 11, ntyp = 4
/
ATOMIC_SPECIES
Nd 144.24 Nd.upf
Pa 231.04 Pa.upf
Se 78.96 Se.upf
S 32.06 S.upf
ATOMIC_POSITIONS angstrom
Nd -8.0026 1.7101 0.3396
Nd -4.6952 -2.1108 -2.0011
Pa -2.5410 0.5430 0.1078
Pa -10.1568 -0.9437 -1.7694
Se -5.2168 1.1148 0.2214
Se -7.4810 -1.5155 -1.8829
S 0.0000 0.0000 0.0000
S -2.9492 0.1834 -2.4894
S -9.4183 1.5658 -2.2149
S -3.2795 -1.9665 0.5533
S -9.7486 -0.5842 0.8279
CELL_PARAMETERS angstrom
-0.3942 -0.8093 -5.2124
-1.0548 -5.1093 0.8731
-11.2488 5.5180 2.6778
! ΔE_f (raw)	-1617	meV per atom
! space group	I4/mmm (139)
! crystal system	tetragonal
! magnetic moment	0.06	μB per atom



! PBE-GGA BaCa2Tl, relaxed; values from VASP
&SYSTEM
  ibrav = 0, nat = 4, ntyp = 3
/
ATOMIC_SPECIES
Tl 204.38 Tl.upf
Ca 40.08 Ca.upf
Ba 137.33 Ba.upf
ATOMIC_POSITIONS angstrom
Tl -3.7946 1.6865 0.8984
Ca 2.0747 5.4461 -1.4259
Ca -1.0411 1.2590 3.2948
Ba -0.8600 3.5657 -0.2627
CELL_PARAMETERS angstrom
-3.6136 3.9927 -2.6585
-3.9758 -0.6209 4.4573
5.6883 1.4535 1.2324
! space group	I-4m2 (119)
! crystal system	tetragonal
! energy above the lowest structure with this stoichiometry	100	meV/atom
! magnetic moment	0.00	μB per atom



! PBE-GGA Pt2W, relaxed; values from VASP
&SYSTEM
  ibrav = 0, nat = 3, ntyp = 2
/
ATOMIC_SPECIES
Pt 195.08 Pt.upf
W 183.84 W.upf
ATOMIC_POSITIONS angstrom
Pt -1.5944 -0.3454 2.2173
Pt -2.0424 1.8691 4.0491
W 0.0000 0.0000 0.0000
CELL_PARAMETERS angstrom
-1.6211 2.1597 -0.8293
-1.1700 -2.5078 0.5675
-0.8458 1.8718 6.5283
! space group	P-3m1 (164)
! crystal system	trigonal
! energy above the lowest structure with this stoichiometry	206	meV/atom
! magnetic moment	0.00	μB per atom



! PBE-GGA SmZn3C4O12, relaxed; values from VASP
&SYSTEM
  ibrav = 0, nat = 20, ntyp = 4
/
ATOMIC_SPECIES
Sm 150.36 Sm.upf
Zn 65.41 Zn.upf
C 12.01 C.upf
O 16.00 O.upf
ATOMIC_POSITIONS angstrom
Sm 0.0000 0.0000 0.0000
Zn 2.7081 2.8292 0.1303
Zn 2.0934 -0.9271 3.1801
Zn -1.4042 2.4417 2.7242
C 5.1671 -0.5408 3.0173
C -1.7698 1.3108 5.5897
C 1.6986 5.7456 0.4450
C 1.6986 2.1719 3.0173
O 1.6986 1.1109 3.7810
O 4.8170 2.9460 0.7046
O -1.4197 4.6107 3.0173
O 1.6986 -1.0411 5.3301
O 0.6694 5.5181 1.2184
O -0.7400 0.5060 5.6195
O 5.1943 0.5271 2.2636
O 2.7279 4.9400 0.4152
O -1.7970 2.3646 4.8163
O 4.1372 -0.8245 3.7711
O 2.7284 2.4275 2.2537
O 0.6689 2.9772 3.0173
CELL_PARAMETERS angstrom
6.2056 0.0938 0.1303
-1.4042 6.0454 0.1303
-1.4042 -1.7954 5.7741
! ΔE_f (raw)	-1531	meV per atom
! space group	R32 (155)
! crystal system	trigonal
! magnetic moment	0.00	μB per atom



! PBE-GGA KY2Ag, relaxed; values from VASP
&SYSTEM
  ibrav = 0, nat = 4, ntyp = 3
/
ATOMIC_SPECIES
Ag 107.87 Ag.upf
K 39.10 K.upf
Y 88.91 Y.upf
ATOMIC_POSITIONS angstrom
Ag 0.5200 2.6640 2.5007
K 2.6945 4.6277 8.2252
Y -1.2762 0.3180 3.4815
Y 1.4717 1.6315 5.2818
CELL_PARAMETERS angstrom
-1.1344 3.3643 -0.7231
-1.9790 -0.0141 3.0387
6.3280 3.9415 8.4103
! space group	P2/m (10)
! crystal system	monoclinic
! electronic total energy	-16.45	eV/cell
! magnetic moment	0.00	μB per atom



! PBE-GGA NaZnN, relaxed; values from VASP
&SYSTEM
  ibrav = 0, nat = 6, ntyp = 3
/
ATOMIC_SPECIES
Na 22.99 Na.upf
N 14.01 N.upf
Zn 65.41 Zn.upf
ATOMIC_POSITIONS angstrom
Na -2.1989 -1.0306 0.8638
Na -5.0603 -0.6963 1.5059
N -3.4474 -2.9798 1.7452
N -3.8118 1.2529 0.6245
Zn -4.7936 -2.8220 3.4380
Zn -2.4656 1.0951 -1.0684
CELL_PARAMETERS angstrom
-1.5275 2.1358 2.5637
-2.7781 0.7489 -2.2791
-2.9536 -4.6115 2.0850
! ΔE_f (raw)	84	meV per atom
! space group	P4/nmm (129)
! crystal system	tetragonal
! magnetic moment	0.00	μB per atom



! PBE-GGA Pm8PrTm6, relaxed; values from VASP
&SYSTEM
  ibrav = 0, nat = 15, ntyp = 3
/
ATOMIC_SPECIES
Pm 145.00 Pm.upf
Pr 140.91 Pr.upf
Tm 168.93 Tm.upf
ATOMIC_POSITIONS angstrom
Pm -5.0943 6.1460 1.4294
Pm -5.4348 8.9113 -0.5644
Pm -7.9001 4.5862 2.6259
Pm -8.4188 6.8089 -0.2412
Pm -7.9144 8.3447 2.2308
Pm -8.4330 10.5674 -0.6362
Pm -10.8984 6.2423 2.5540
Pm -11.2389 9.0075 0.5603
Pr 0.0000 0.0000 0.0000
Tm -12.8775 10.4260 3.5837
Tm -3.0704 1.6538 0.2370
Tm -6.3155 3.1823 -0.0504
Tm -10.0176 11.9713 2.0401
Tm -13.2628 13.4998 1.7526
Tm -3.4557 4.7276 -1.5941
CELL_PARAMETERS angstrom
-4.0357 7.3986 -3.7731
-9.0794 1.3322 1.0251
-3.2180 6.4228 4.7377
! space group	R-3 (148)
! crystal system	trigonal
! energy above the lowest structure with this stoichiometry	0	meV/atom
! magnetic moment	0.00	μB per atom



! PBE-GGA Cs3DyAg2F9, relaxed; values from VASP
&SYSTEM
  ibrav = 0, nat = 15, ntyp = 4
/
ATOMIC_SPECIES
Cs 132.91 Cs.upf
Dy 162.50 Dy.upf
Ag 107.87 Ag.upf
F 19.00 F.upf
ATOMIC_POSITIONS angstrom
Cs 0.0000 3.7569 5.5658
Cs 0.0000 0.0000 0.0000
Cs 3.2536 1.8784 2.4963
Dy 0.0000 0.0000 4.0311
Ag 0.0000 3.7569 1.3215
Ag 3.2536 1.8784 6.7406
F 4.9581 0.8943 5.2950
F 3.2536 3.8467 5.2950
F 1.5490 0.8943 5.2950
F 1.7046 4.7410 2.7671
F 0.0000 1.7886 2.7671
F -1.7046 4.7410 2.7671
F 3.2536 0.0000 0.0000
F -1.6268 2.8177 0.0000
F 1.6268 2.8177 0.0000
CELL_PARAMETERS angstrom
6.5071 0.0000 0.0000
-3.2536 5.6353 0.0000
0.0000 0.0000 8.0621
! ΔE_f (raw)	-2608	meV per atom
! space group	P-3m1 (164)
! crystal system	trigonal
! magnetic moment	0.07	μB per atom



! PBE-GGA Be2VAsP, relaxed; values from VASP
&SYSTEM
  ibrav = 0, nat = 5, ntyp = 4
/
ATOMIC_SPECIES
P 30.97 P.upf
As 74.92 As.upf
Be 9.01 Be.upf
V 50.94 V.upf
ATOMIC_POSITIONS angstrom
P 0.0000 0.0000 0.0000
As 1.9956 2.2944 1.9956
Be 0.0000 0.0000 1.9956
Be 1.9956 0.0000 0.0000
V 0.0000 2.2944 0.0000
CELL_PARAMETERS angstrom
3.9912 0.0000 0.0000
0.0000 4.5889 0.0000
0.0000 0.0000 3.9912
! space group	P4/mmm (123)
! crystal system	tetragonal
! electronic total energy	-24.62	eV/cell
! magnetic moment	0.00	μB per atom